Record 1
Cs2MgTl: optimized geometry, PBE.

Crystal system: tetragonal
Raw total energy (eV per cell): -9.05
Total magnetic moment (μB/f.u.): 0.00
Calculated volume (Å³ per cell): 448.7
Energy of formation from the pure elements (kJ/mol of atoms): 28

Geometry as CIF:
```
data_Cs2MgTl
_cell_length_a 8.556
_cell_length_b 8.556
_cell_length_c 8.556
_cell_angle_alpha 101.59
_cell_angle_beta 101.59
_cell_angle_gamma 126.74
_space_group_name_H-M_alt 'P 1'
_space_group_IT_number 1
loop_
_space_group_symop_operation_xyz
'x,y,z'
loop_
_atom_site_label
_atom_site_type_symbol
_atom_site_fract_x
_atom_site_fract_y
_atom_site_fract_z
Cs1 Cs 0.118 0.625 0.993
Cs2 Cs 0.375 0.368 0.493
Cs3 Cs 0.632 0.125 0.007
Cs4 Cs 0.875 0.882 0.507
Mg1 Mg 0.250 0.750 0.500
Mg2 Mg 0.500 0.500 0.000
Tl1 Tl 0.000 0.000 0.000
Tl2 Tl 0.750 0.250 0.500
```

=====

Record 2
AcTlIn2Br6: optimized geometry, PBE.

Crystal system: trigonal
Raw total energy (eV per cell): -34.43
Total magnetic moment (μB/f.u.): 0.00
Raw formation energy (eV/atom): -1.244
Calculated volume (Å³ per cell): 431.6

Geometry as CIF:
```
data_AcTlIn2Br6
_cell_length_a 8.665
_cell_length_b 8.665
_cell_length_c 8.665
_cell_angle_alpha 57.31
_cell_angle_beta 57.31
_cell_angle_gamma 57.31
_space_group_name_H-M_alt 'P 1'
_space_group_IT_number 1
loop_
_space_group_symop_operation_xyz
'x,y,z'
loop_
_atom_site_label
_atom_site_type_symbol
_atom_site_fract_x
_atom_site_fract_y
_atom_site_fract_z
Ac1 Ac 0.000 0.000 0.000
Tl1 Tl 0.508 0.508 0.508
In1 In 0.305 0.305 0.305
In2 In 0.799 0.799 0.799
Br1 Br 0.115 0.733 0.362
Br2 Br 0.189 0.628 0.906
Br3 Br 0.362 0.115 0.733
Br4 Br 0.628 0.906 0.189
Br5 Br 0.733 0.362 0.115
Br6 Br 0.906 0.189 0.628
```